(1)
The following is a DFT calculation (PBE) of a geometry-optimized Ac2Tl2Ag structure.

- Total magnetic moment: 0.00 μB/atom
- ΔH_f (0 K): -316 meV/atom
- E_tot: -3.4764 eV per atom

abc: 11.9623 4.9946 12.2068
angles: 90.00 117.35 90.00
Space group C2/m (No. 12)
One atom of each set of equivalent atoms:
Ac (0.0220, 0.0000, 0.3375)
Ac (0.1832, 0.0000, 0.1112)
Tl (0.0315, 0.5000, 0.8855)
Tl (0.1457, 0.5000, 0.5643)
Ag (0.2223, 0.5000, 0.3369)

=====

(2)
The following is a DFT calculation (PBE) of a geometry-optimized Re2SiS structure.

- Total magnetic moment: 0.00 μB/atom
- E_tot: -8.4146 eV per atom
- Distance to the lowest polymorph of the same formula: 0.00 eV per formula unit
- Formation energy from raw total energies: 0.197 eV per atom

abc: 5.9876 5.9876 5.9876
angles: 90.00 90.00 90.00
Space group Fm-3m (No. 225)
One atom of each set of equivalent atoms:
Re (0.2500, 0.2500, 0.2500)
Si (0.0000, 0.0000, 0.0000)
S (0.0000, 0.0000, 0.5000)

=====

(3)
The following is a DFT calculation (PBE) of a geometry-optimized Pr3NdDy6Y2 structure.

- Total magnetic moment: 0.00 μB/atom
- ΔH_f (0 K): 17 meV/atom
- E_tot: -4.9533 eV per atom

abc: 6.2476 10.8185 11.9078
angles: 90.00 100.04 90.00
Space group C2/m (No. 12)
One atom of each set of equivalent atoms:
Pr (0.0000, 0.0000, 0.0000)
Pr (0.0000, 0.3331, 0.0000)
Nd (0.0000, 0.5000, 0.5000)
Dy (0.2495, 0.0000, 0.7477)
Dy (0.2494, 0.3334, 0.7475)
Y (0.0000, 0.1667, 0.5000)

=====

(4)
The following is a DFT calculation (PBE) of a geometry-optimized HoLu2V structure.

- Total magnetic moment: 0.77 μB/atom
- ΔH_f (0 K): 187 meV/atom
- E_tot: -5.4971 eV per atom

abc: 3.5320 3.5320 8.3922
angles: 90.00 90.00 90.00
Space group P4/mmm (No. 123)
One atom of each set of equivalent atoms:
Ho (0.0000, 0.0000, 0.0000)
Lu (0.5000, 0.5000, 0.3000)
V (0.0000, 0.0000, 0.5000)

=====

(5)
The following is a DFT calculation (PBE) of a geometry-optimized Np2Tl3InSe6 structure.

- Total magnetic moment: 0.55 μB/atom
- E_tot: -5.4785 eV per atom
- Formation energy from raw total energies: -0.760 eV per atom

abc: 7.4421 12.8012 7.9755
angles: 90.00 107.43 90.00
Space group C2/m (No. 12)
One atom of each set of equivalent atoms:
Np (0.0000, 0.1681, 0.0000)
Tl (0.0000, 0.0000, 0.5000)
Tl (0.0000, 0.3408, 0.5000)
In (0.0000, 0.5000, 0.0000)
Se (0.2109, 0.0000, 0.1981)
Se (0.2483, 0.3211, 0.2090)

=====

(6)
The following is a DFT calculation (PBE) of a geometry-optimized ZrTaRu2 structure.

- Total magnetic moment: 0.00 μB/atom
- ΔH_f (0 K): -109 meV/atom
- E_tot: -9.8470 eV per atom

abc: 3.1085 3.1085 24.8835
angles: 90.00 90.00 120.00
Space group R-3m (No. 166, hexagonal axes)
One atom of each set of equivalent atoms:
Zr (0.0000, 0.0000, 0.0000)
Ta (0.0000, 0.0000, 0.5000)
Ru (0.0000, 0.0000, 0.2460)

=====

(7)
The following is a DFT calculation (PBE) of a geometry-optimized Hg2Pt structure.

- Total magnetic moment: 0.00 μB/atom
- ΔH_f (0 K): -20 meV/atom
- E_tot: -2.2348 eV per atom
- Distance to the lowest polymorph of the same formula: 0.14 eV per formula unit

abc: 13.8866 2.9707 7.0737
angles: 90.00 90.19 90.00
Space group Cm (No. 8)
One atom of each set of equivalent atoms:
Hg (0.0000, 0.0000, 0.0000)
Hg (0.0081, 0.5000, 0.5002)
Hg (0.2490, 0.5000, 0.9819)
Hg (0.2591, 0.5000, 0.4821)
Pt (0.1384, 0.0000, 0.7261)
Pt (0.3694, 0.0000, 0.2255)

=====

(8)
The following is a DFT calculation (PBE) of a geometry-optimized Mo2PbW2 structure.

- Total magnetic moment: 0.00 μB/atom
- ΔH_f (0 K): 725 meV/atom
- E_tot: -9.5303 eV per atom
- Distance to the lowest polymorph of the same formula: 0.00 eV per formula unit

abc: 7.8739 7.8739 2.9994
angles: 90.00 90.00 90.00
Space group P4/mbm (No. 127)
One atom of each set of equivalent atoms:
Mo (0.1423, 0.3577, 0.0000)
Pb (0.0000, 0.0000, 0.0000)
W (0.1448, 0.6448, 0.5000)

=====

(9)
The following is a DFT calculation (PBE) of a geometry-optimized Y3CrHg structure.

- Total magnetic moment: 0.00 μB/atom
- ΔH_f (0 K): 332 meV/atom
- E_tot: -5.5317 eV per atom
- Distance to the lowest polymorph of the same formula: 0.00 eV per formula unit

abc: 5.1911 5.1911 5.1911
angles: 90.00 90.00 90.00
Space group Pm-3m (No. 221)
One atom of each set of equivalent atoms:
Y (0.0000, 0.0000, 0.5000)
Cr (0.0000, 0.0000, 0.0000)
Hg (0.5000, 0.5000, 0.5000)

=====

(10)
The following is a DFT calculation (PBE) of a geometry-optimized CaAlGaS4 structure.

- Total magnetic moment: 0.00 μB/atom
- E_tot: -4.8254 eV per atom
- Formation energy from raw total energies: -1.214 eV per atom

abc: 7.5932 11.4046 7.5150
angles: 90.00 90.00 90.00
Space group Cmcm (No. 63)
One atom of each set of equivalent atoms:
Ca (0.0000, 0.0000, 0.0000)
Al (0.0000, 0.3622, 0.2500)
Ga (0.0000, 0.3591, 0.7500)
S (0.0000, 0.2479, 0.0035)
S (0.2221, 0.4986, 0.2500)

=====

(11)
The following is a DFT calculation (PBE) of a geometry-optimized Ca2BeCu structure.

- Total magnetic moment: 0.00 μB/atom
- ΔH_f (0 K): 56 meV/atom
- E_tot: -2.9006 eV per atom

abc: 4.4538 3.9437 5.8120
angles: 90.00 112.42 90.00
Space group Pm (No. 6)
One atom of each set of equivalent atoms:
Ca (0.0000, 0.0000, 0.0000)
Ca (0.2873, 0.5000, 0.5749)
Be (0.5948, 0.5000, 0.1894)
Cu (0.6946, 0.0000, 0.3898)

=====

(12)
The following is a DFT calculation (PBE) of a geometry-optimized SmTlPd structure.

- Total magnetic moment: 0.00 μB/atom
- ΔH_f (0 K): -632 meV/atom
- E_tot: -4.7249 eV per atom
- Distance to the lowest polymorph of the same formula: 0.05 eV per formula unit

abc: 13.9635 3.8402 8.0053
angles: 90.00 90.00 90.00
Space group Pmma (No. 51)
One atom of each set of equivalent atoms:
Sm (0.0494, 0.0000, 0.2259)
Sm (0.2500, 0.0000, 0.8440)
Tl (0.1131, 0.5000, 0.5727)
Tl (0.2500, 0.5000, 0.1847)
Pd (0.0940, 0.5000, 0.9377)
Pd (0.2500, 0.0000, 0.4499)

=====

(13)
The following is a DFT calculation (PBE) of a geometry-optimized ZrTiOs4 structure.

- Total magnetic moment: 0.00 μB/atom
- ΔH_f (0 K): -218 meV/atom
- E_tot: -10.4448 eV per atom

abc: 7.3428 7.3428 7.3428
angles: 90.00 90.00 90.00
Space group F-43m (No. 216)
One atom of each set of equivalent atoms:
Zr (0.0000, 0.0000, 0.0000)
Ti (0.2500, 0.2500, 0.2500)
Os (0.1247, 0.1247, 0.6247)

=====

(14)
The following is a DFT calculation (PBE) of a geometry-optimized Sc4GaPd2 structure.

- Total magnetic moment: 0.00 μB/atom
- ΔH_f (0 K): -635 meV/atom
- E_tot: -6.1689 eV per atom

abc: 4.6620 4.6620 22.5430
angles: 90.00 90.00 120.00
Space group R-3m (No. 166, hexagonal axes)
One atom of each set of equivalent atoms:
Sc (0.0000, 0.0000, 0.1179)
Sc (0.0000, 0.0000, 0.3711)
Ga (0.0000, 0.0000, 0.5000)
Pd (0.0000, 0.0000, 0.2464)

=====

(15)
The following is a DFT calculation (PBE) of a geometry-optimized Gd2MgTe structure.

- Total magnetic moment: 3.65 μB/atom
- E_tot: -8.8089 eV per atom
- Distance to the lowest polymorph of the same formula: 0.27 eV per formula unit
- Formation energy from raw total energies: -0.584 eV per atom

abc: 4.0740 4.0740 25.8470
angles: 90.00 90.00 120.00
Space group R-3m (No. 166, hexagonal axes)
One atom of each set of equivalent atoms:
Gd (0.0000, 0.0000, 0.2436)
Mg (0.0000, 0.0000, 0.0000)
Te (0.0000, 0.0000, 0.5000)

=====

(16)
The following is a DFT calculation (PBE) of a geometry-optimized TaAl4Rh structure.

- Total magnetic moment: 0.00 μB/atom
- ΔH_f (0 K): -75 meV/atom
- E_tot: -5.7705 eV per atom

abc: 7.1777 7.1777 7.1777
angles: 90.00 90.00 90.00
Space group F-43m (No. 216)
One atom of each set of equivalent atoms:
Ta (0.0000, 0.0000, 0.0000)
Al (0.1252, 0.1252, 0.6252)
Rh (0.2500, 0.2500, 0.2500)

=====

(17)
The following is a DFT calculation (PBE) of a geometry-optimized La6DyYEr2 structure.

- Total magnetic moment: 0.00 μB/atom
- ΔH_f (0 K): 117 meV/atom
- E_tot: -4.8590 eV per atom

abc: 9.8129 15.2293 9.3002
angles: 90.00 93.49 90.00
Space group C2/c (No. 15)
One atom of each set of equivalent atoms:
La (0.0749, 0.1548, 0.4182)
La (0.0782, 0.3676, 0.6060)
La (0.2382, 0.2196, 0.8199)
Dy (0.0000, 0.4210, 0.2500)
Y (0.0000, 0.0559, 0.7500)
Er (0.2477, 0.0450, 0.0636)

=====

(18)
The following is a DFT calculation (PBE) of a geometry-optimized Th2Be3Cu12Pd structure.

- Total magnetic moment: 0.00 μB/atom
- ΔH_f (0 K): 333 meV/atom
- E_tot: -4.1313 eV per atom

abc: 7.5944 7.5944 17.5117
angles: 90.00 90.00 120.00
Space group R-3m (No. 166, hexagonal axes)
One atom of each set of equivalent atoms:
Th (0.0000, 0.0000, 0.1038)
Be (0.0000, 0.5000, 0.0000)
Cu (0.0189, 0.5094, 0.8798)
Cu (0.0414, 0.5207, 0.3533)
Pd (0.0000, 0.0000, 0.5000)

=====

(19)
The following is a DFT calculation (PBE) of a geometry-optimized LiDySnHg structure.

- Total magnetic moment: 0.00 μB/atom
- ΔH_f (0 K): -519 meV/atom
- E_tot: -3.2242 eV per atom

abc: 7.2167 7.2167 7.2167
angles: 90.00 90.00 90.00
Space group F-43m (No. 216)
One atom of each set of equivalent atoms:
Li (0.0000, 0.0000, 0.0000)
Dy (0.0000, 0.0000, 0.5000)
Sn (0.2500, 0.2500, 0.2500)
Hg (0.2500, 0.2500, 0.7500)

=====

(20)
The following is a DFT calculation (PBE) of a geometry-optimized In2Ru2Pt structure.

- Total magnetic moment: 0.00 μB/atom
- ΔH_f (0 K): 104 meV/atom
- E_tot: -5.9094 eV per atom

abc: 6.7162 6.7162 4.0361
angles: 90.00 90.00 90.00
Space group P4/mbm (No. 127)
One atom of each set of equivalent atoms:
In (0.1766, 0.3234, 0.0000)
Ru (0.1266, 0.6266, 0.5000)
Pt (0.0000, 0.0000, 0.5000)